10
Lattice="-3.672 -2.117 -2.742 1.920 -4.570 0.957 -6.722 -0.808 9.625" Properties=species:S:1:pos:R:3 comment="PBE-GGA CsLi2Te2, relaxed" formation_energy_uncorrected_kj_per_mol_atoms=-90 energy_ry_per_atom=-0.230 space_group="P4/nmm (129)" magnetic_moment_mub_per_cell=0.00 relative_energy_mev_per_atom=0 pbc="T T T"
Cs -4.016 -2.883 7.603
Te 0.000 0.000 0.000
Cs -3.582 -1.268 1.129
Li -3.361 -0.404 4.812
Li 0.053 -2.394 1.777
Li -4.237 -3.747 3.920
Li -7.651 -1.757 6.955
Te -1.572 -2.589 4.104
Te -0.876 -3.343 -0.892
Te -6.026 -1.562 4.628